A crystal of Tl3Ru relaxed with PBEsol, computed with SCAN.

a = 3.2840 Å, b = 3.2840 Å, c = 9.7482 Å
α = 90.00°, β = 90.00°, γ = 120.00°
With the nearest neighbours (Å) after each atom.
Space group P-6m2 (No. 187)
One atom of each set of equivalent atoms:
Tl1 0.0000 0.0000 0.0000 (multiplicity 1)  12 Tl 3.28-3.42
Tl2 0.3333 0.6667 0.2924 (multiplicity 2)  3 Ru 2.77
Ru1 0.0000 0.0000 0.5000 (multiplicity 1)  6 Tl 2.77

- formation energy (eV per atom) = 0.471
- DOS(E_F) (states/eV/f.u.) = 2.6